Density functional theory data (PBE-GGA) for an optimized crystal structure of Ho3Zn2Ag.

a b c (Å): 3.568 3.568 10.697
angles (deg): 90.00 90.00 90.00
Atoms (fractional coordinates):
Ho 0.000 0.000 0.000
Ho 0.000 0.000 0.326
Ho 0.000 0.000 0.674
Zn 0.500 0.500 0.161
Zn 0.500 0.500 0.839
Ag 0.500 0.500 0.500

Output
Space group = P4/mmm
Energy = -21.2 eV per cell